# 1
# NpFe2SiN

A relaxed NpFe2SiN crystal (GGA-PBE, Alexandria via LeMat-Bulk).

Unit cell a=5.727 b=5.727 c=6.984 alpha=90.00 beta=90.00 gamma=145.63
Fractional coordinates of all 10 atoms:
Np 0.036 0.964 0.750
Np 0.964 0.036 0.250
Fe 0.331 0.669 0.553
Fe 0.331 0.669 0.947
Fe 0.669 0.331 0.053
Fe 0.669 0.331 0.447
Si 0.237 0.763 0.250
Si 0.763 0.237 0.750
N 0.500 0.500 0.000
N 0.500 0.500 0.500

- Energy relative to the elements, uncorrected: -0.5655 eV per atom
- Calculated volume: 12.93 Å³ per atom

---

# 2
# WSe2I

A relaxed WSe2I crystal (GGA-PBE, Alexandria via LeMat-Bulk).

Unit cell a=6.456 b=6.692 c=7.664 alpha=70.54 beta=88.59 gamma=80.09
Fractional coordinates of all 8 atoms:
W 0.000 0.000 0.000
W 0.415 0.863 0.152
Se 0.045 0.267 0.736
Se 0.151 0.104 0.245
Se 0.235 0.670 0.997
Se 0.656 0.118 0.142
I 0.523 0.548 0.461
I 0.702 0.807 0.880

- Energy relative to the elements, uncorrected: -0.1938 eV per atom
- Calculated volume: 38.42 Å³ per atom

---

# 3
# Na3Ge2As4

A relaxed Na3Ge2As4 crystal (GGA-PBE, Alexandria via LeMat-Bulk).

Unit cell a=8.168 b=8.168 c=6.488 alpha=113.26 beta=113.26 gamma=32.49
Fractional coordinates of all 9 atoms:
Na 0.000 0.000 0.000
Na 0.128 0.128 0.695
Na 0.872 0.872 0.305
Ge 0.331 0.331 0.634
Ge 0.669 0.669 0.366
As 0.212 0.212 0.229
As 0.499 0.499 0.306
As 0.501 0.501 0.694
As 0.788 0.788 0.771

- Calculated volume: 23.55 Å³ per atom
- ΔE_f: -225 meV/atom